Model A:
KCoRe at its PBEsol-relaxed geometry. Source: Alexandria via LeMat-Bulk, functional meta-GGA SCAN.

The structure in extended XYZ format:
```
3
Lattice="0.000 3.188 3.188 3.188 0.000 3.188 3.188 3.188 0.000" Properties=species:S:1:pos:R:3 pbc="T T T"
K 0.000 0.000 0.000
Co 4.783 4.783 4.783
Re 1.594 1.594 1.594
```

Summary:
Symmetry: F-43m
Magnetic moment: 5.27 μB/f.u.
DOS(E_F): 6.105 states/eV/cell

---

Model B:
KCoRe at its PBEsol-relaxed geometry. Source: Alexandria via LeMat-Bulk, functional meta-GGA SCAN.

The structure in extended XYZ format:
```
3
Lattice="4.849 0.000 0.000 -2.425 4.200 0.000 0.000 0.000 2.514" Properties=species:S:1:pos:R:3 pbc="T T T"
K 0.000 0.000 0.000
Co 2.425 1.400 1.238
Re 0.000 2.800 1.272
```

Summary:
Symmetry: P3m1
Magnetic moment: 2.13 μB/f.u.
DOS(E_F): 3.531 states/eV/cell

---

Out of the structures above, which one is the most stable? Solution: model B.